This record from Alexandria describes a relaxed In2AsBr crystal. The functional is PBE.

ΔE_f (raw) (eV per atom): -0.12
Raw total energy (eV/cell): -49.156
Energy above the lowest structure with this stoichiometry (eV per formula unit): 0.647

```
data_In2AsBr
_chemical_formula_sum 'In8 As4 Br4'
_symmetry_space_group_name_H-M 'I -4 2 d'
_symmetry_Int_Tables_number 122
_symmetry_space_group_name_Hall 'I -4 2bw'
_cell_length_a 7.609
_cell_length_b 7.609
_cell_length_c 9.010
_cell_angle_alpha 90.00
_cell_angle_beta 90.00
_cell_angle_gamma 90.00
loop_
_atom_site_label
_atom_site_type_symbol
_atom_site_fract_x
_atom_site_fract_y
_atom_site_fract_z
In1 In 0.212 0.250 0.125
As1 As 0.000 0.000 0.000
Br1 Br 0.000 0.000 0.500
```